First-principles (PBE) data for MgScPb2 after structural relaxation, as listed in Alexandria via LeMat-Bulk.

CIF file:
```
data_MgScPb2
_cell_length_a 3.638
_cell_length_b 4.559
_cell_length_c 6.256
_cell_angle_alpha 90.00
_cell_angle_beta 90.00
_cell_angle_gamma 90.00
_space_group_name_H-M_alt 'P m m 2'
_space_group_IT_number 25
loop_
_space_group_symop_operation_xyz
'x,y,z'
'-x,-y,z'
'-x,y,z'
'x,-y,z'
loop_
_atom_site_label
_atom_site_fract_x
_atom_site_fract_y
_atom_site_fract_z
Mg1 0.000 0.000 0.000
Sc1 0.500 0.500 0.716
Pb1 0.000 0.000 0.526
Pb2 0.500 0.500 0.210
```

Properties
Magnetic moment: 0.000 μB per cell
Energy: -3.9761 eV per atom

First-principles (PBE) data for Mg2ScPb after structural relaxation, as listed in Alexandria via LeMat-Bulk.

CIF file:
```
data_Mg2ScPb
_cell_length_a 3.630
_cell_length_b 5.415
_cell_length_c 10.273
_cell_angle_alpha 90.00
_cell_angle_beta 90.00
_cell_angle_gamma 90.00
_space_group_name_H-M_alt 'C m m m'
_space_group_IT_number 65
_space_group_name_Hall '-C 2 2'
loop_
_atom_site_label
_atom_site_fract_x
_atom_site_fract_y
_atom_site_fract_z
Mg1 0.000 0.000 0.244
Sc1 0.000 0.500 0.000
Pb1 0.000 0.500 0.500
```

Properties
Magnetic moment: 0.001 μB per cell
Energy: -3.3043 eV per atom

First-principles (PBE) data for MgScPb2 after structural relaxation, as listed in Alexandria via LeMat-Bulk.

CIF file:
```
data_MgScPb2
_cell_length_a 3.451
_cell_length_b 4.284
_cell_length_c 6.824
_cell_angle_alpha 90.00
_cell_angle_beta 90.19
_cell_angle_gamma 90.00
_space_group_name_H-M_alt 'P 1 2/m 1'
_space_group_IT_number 10
loop_
_space_group_symop_operation_xyz
'x,y,z'
'-x,-y,-z'
'-x,y,-z'
'x,-y,z'
loop_
_atom_site_label
_atom_site_fract_x
_atom_site_fract_y
_atom_site_fract_z
Mg1 0.000 0.000 0.000
Sc1 0.000 0.000 0.500
Pb1 0.499 0.500 0.748
```

Properties
Magnetic moment: 0.000 μB per cell
Energy: -4.0135 eV per atom

First-principles (PBE) data for MgSc2Pb after structural relaxation, as listed in Alexandria via LeMat-Bulk.

CIF file:
```
data_MgSc2Pb
_cell_length_a 8.067
_cell_length_b 8.067
_cell_length_c 6.380
_cell_angle_alpha 90.00
_cell_angle_beta 90.00
_cell_angle_gamma 90.00
_space_group_name_H-M_alt 'I -4 2 d'
_space_group_IT_number 122
_space_group_name_Hall 'I -4 2bw'
loop_
_atom_site_label
_atom_site_fract_x
_atom_site_fract_y
_atom_site_fract_z
Mg1 0.000 0.000 0.000
Sc1 0.242 0.750 0.625
Pb1 0.000 0.000 0.500
```

Properties
Magnetic moment: 0.005 μB per cell
Energy: -4.3700 eV per atom

First-principles (PBE) data for MgSc2Pb after structural relaxation, as listed in Alexandria via LeMat-Bulk.

CIF file:
```
data_MgSc2Pb
_cell_length_a 6.443
_cell_length_b 8.796
_cell_length_c 3.320
_cell_angle_alpha 90.00
_cell_angle_beta 90.00
_cell_angle_gamma 90.00
_space_group_name_H-M_alt 'C m m m'
_space_group_IT_number 65
_space_group_name_Hall '-C 2 2'
loop_
_atom_site_label
_atom_site_fract_x
_atom_site_fract_y
_atom_site_fract_z
Mg1 0.000 0.000 0.000
Sc1 0.250 0.250 0.500
Pb1 0.000 0.500 0.000
```

Properties
Magnetic moment: 1.361 μB per cell
Energy: -4.7164 eV per atom

First-principles (PBE) data for Mg2ScPbSe after structural relaxation, as listed in Alexandria via LeMat-Bulk.

CIF file:
```
data_Mg2ScPbSe
_cell_length_a 5.631
_cell_length_b 5.631
_cell_length_c 5.669
_cell_angle_alpha 90.00
_cell_angle_beta 90.00
_cell_angle_gamma 90.00
_space_group_name_H-M_alt 'P 4/m m m'
_space_group_IT_number 123
_space_group_name_Hall '-P 4 2'
loop_
_atom_site_label
_atom_site_fract_x
_atom_site_fract_y
_atom_site_fract_z
Mg1 0.000 0.500 0.000
Sc1 0.000 0.000 0.000
Pb1 0.000 0.000 0.500
Se1 0.500 0.500 0.500
```

Properties
Magnetic moment: 0.000 μB per cell
Raw formation energy: 0.7642 eV per atom
Energy: -2.5785 eV per atom

First-principles (PBE) data for YMgScPb after structural relaxation, as listed in Alexandria via LeMat-Bulk.

CIF file:
```
data_YMgScPb
_cell_length_a 7.404
_cell_length_b 7.404
_cell_length_c 7.404
_cell_angle_alpha 90.00
_cell_angle_beta 90.00
_cell_angle_gamma 90.00
_space_group_name_H-M_alt 'F -4 3 m'
_space_group_IT_number 216
_space_group_name_Hall 'F -4 2 3'
loop_
_atom_site_label
_atom_site_fract_x
_atom_site_fract_y
_atom_site_fract_z
Y1 0.000 0.000 0.000
Mg1 0.250 0.250 0.750
Sc1 0.000 0.000 0.500
Pb1 0.250 0.250 0.250
```

Properties
Magnetic moment: 0.013 μB per cell
Energy: -4.7702 eV per atom

First-principles (PBE) data for MgScZnPb after structural relaxation, as listed in Alexandria via LeMat-Bulk.

CIF file:
```
data_MgScZnPb
_cell_length_a 7.041
_cell_length_b 7.041
_cell_length_c 7.041
_cell_angle_alpha 90.00
_cell_angle_beta 90.00
_cell_angle_gamma 90.00
_space_group_name_H-M_alt 'F -4 3 m'
_space_group_IT_number 216
_space_group_name_Hall 'F -4 2 3'
loop_
_atom_site_label
_atom_site_fract_x
_atom_site_fract_y
_atom_site_fract_z
Mg1 0.000 0.000 0.000
Sc1 0.000 0.000 0.500
Zn1 0.250 0.250 0.250
Pb1 0.250 0.250 0.750
```

Properties
Magnetic moment: 0.000 μB per cell
Energy: -3.3556 eV per atom

First-principles (PBE) data for MgScZnPb after structural relaxation, as listed in Alexandria via LeMat-Bulk.

CIF file:
```
data_MgScZnPb
_cell_length_a 4.213
_cell_length_b 4.417
_cell_length_c 4.557
_cell_angle_alpha 90.00
_cell_angle_beta 90.00
_cell_angle_gamma 90.00
_space_group_name_H-M_alt 'P m m m'
_space_group_IT_number 47
loop_
_space_group_symop_operation_xyz
'x,y,z'
'-x,-y,-z'
'-x,-y,z'
'x,y,-z'
'x,-y,-z'
'-x,y,z'
'-x,y,-z'
'x,-y,z'
loop_
_atom_site_label
_atom_site_fract_x
_atom_site_fract_y
_atom_site_fract_z
Mg1 0.000 0.000 0.000
Sc1 0.000 0.500 0.500
Zn1 0.500 0.500 0.000
Pb1 0.500 0.000 0.500
```

Properties
Magnetic moment: 0.000 μB per cell
Energy: -3.4767 eV per atom

First-principles (PBE) data for Mg2ZrScPb after structural relaxation, as listed in Alexandria via LeMat-Bulk.

CIF file:
```
data_Mg2ZrScPb
_cell_length_a 5.539
_cell_length_b 5.539
_cell_length_c 4.971
_cell_angle_alpha 90.00
_cell_angle_beta 90.00
_cell_angle_gamma 90.00
_space_group_name_H-M_alt 'P 4/m m m'
_space_group_IT_number 123
_space_group_name_Hall '-P 4 2'
loop_
_atom_site_label
_atom_site_fract_x
_atom_site_fract_y
_atom_site_fract_z
Mg1 0.000 0.500 0.000
Zr1 0.000 0.000 0.000
Sc1 0.000 0.000 0.500
Pb1 0.500 0.500 0.500
```

Properties
Magnetic moment: 0.000 μB per cell
Energy: -3.5225 eV per atom

First-principles (PBE) data for MgZrScPb after structural relaxation, as listed in Alexandria via LeMat-Bulk.

CIF file:
```
data_MgZrScPb
_cell_length_a 7.165
_cell_length_b 7.165
_cell_length_c 7.165
_cell_angle_alpha 90.00
_cell_angle_beta 90.00
_cell_angle_gamma 90.00
_space_group_name_H-M_alt 'F -4 3 m'
_space_group_IT_number 216
_space_group_name_Hall 'F -4 2 3'
loop_
_atom_site_label
_atom_site_fract_x
_atom_site_fract_y
_atom_site_fract_z
Mg1 0.000 0.000 0.000
Zr1 0.250 0.250 0.250
Sc1 0.250 0.250 0.750
Pb1 0.000 0.000 0.500
```

Properties
Magnetic moment: 0.007 μB per cell
Energy: -5.1115 eV per atom

First-principles (PBE) data for MgPb4Se5 after structural relaxation, as listed in Alexandria via LeMat-Bulk.

CIF file:
```
data_MgPb4Se5
_cell_length_a 4.2830
_cell_length_b 4.2830
_cell_length_c 53.0162
_cell_angle_alpha 90.00
_cell_angle_beta 90.00
_cell_angle_gamma 120.00
_space_group_name_H-M_alt 'R -3 m'
_space_group_IT_number 166
_space_group_name_Hall '-R 3 2"'
loop_
_atom_site_label
_atom_site_fract_x
_atom_site_fract_y
_atom_site_fract_z
Mg1 0.0000 0.0000 0.0000
Pb1 0.0000 0.0000 0.2013
Pb2 0.0000 0.0000 0.3961
Se1 0.0000 0.0000 0.0973
Se2 0.0000 0.0000 0.3064
Se3 0.0000 0.0000 0.5000
```

Properties
Magnetic moment: 0.000 μB per cell
Raw formation energy: -0.6733 eV per atom
Energy: -4.0583 eV per atom

First-principles (PBE) data for MgPbSe2 after structural relaxation, as listed in Alexandria via LeMat-Bulk.

CIF file:
```
data_MgPbSe2
_cell_length_a 3.965
_cell_length_b 3.697
_cell_length_c 7.324
_cell_angle_alpha 90.00
_cell_angle_beta 102.42
_cell_angle_gamma 90.00
_space_group_name_H-M_alt 'P 1 2/m 1'
_space_group_IT_number 10
loop_
_space_group_symop_operation_xyz
'x,y,z'
'-x,-y,-z'
'-x,y,-z'
'x,-y,z'
loop_
_atom_site_label
_atom_site_fract_x
_atom_site_fract_y
_atom_site_fract_z
Mg1 0.000 0.000 0.000
Pb1 0.500 0.000 0.500
Se1 0.098 0.500 0.757
```

Properties
Magnetic moment: 0.000 μB per cell
Raw formation energy: -0.6301 eV per atom
Energy: -3.6981 eV per atom

First-principles (PBE) data for MgPbSe2 after structural relaxation, as listed in Alexandria via LeMat-Bulk.

CIF file:
```
data_MgPbSe2
_cell_length_a 3.591
_cell_length_b 3.591
_cell_length_c 7.318
_cell_angle_alpha 90.00
_cell_angle_beta 90.00
_cell_angle_gamma 90.00
_space_group_name_H-M_alt 'P 4/m m m'
_space_group_IT_number 123
_space_group_name_Hall '-P 4 2'
loop_
_atom_site_label
_atom_site_fract_x
_atom_site_fract_y
_atom_site_fract_z
Mg1 0.000 0.000 0.000
Pb1 0.000 0.000 0.500
Se1 0.500 0.500 0.224
```

Properties
Magnetic moment: 0.000 μB per cell
Raw formation energy: -0.4926 eV per atom
Energy: -3.5606 eV per atom